Record 1
A relaxed PrCdHg2 crystal. Source: Alexandria via LeMat-Bulk, functional GGA-PBE. Values from VASP.

Properties
**Formation energy from the elements**: -326 meV per atom
**SG**: P4/mmm
**Theoretical density**: 10.34 Mg/m³
**Spin magnetization**: 0.00 μB per cell
**Energy above the most stable polymorph in this dataset**: 0.087 eV/atom
**E**: -7.6 eV for the cell shown

The structure in Quantum ESPRESSO input format:
```
&SYSTEM
  ibrav = 0, nat = 4, ntyp = 3
/
ATOMIC_SPECIES
Pr 140.91 Pr.upf
Cd 112.41 Cd.upf
Hg 200.59 Hg.upf
ATOMIC_POSITIONS angstrom
Pr 0.000 0.000 0.000
Cd 2.408 2.408 0.000
Hg 0.000 2.408 2.265
Hg 2.408 0.000 2.265
CELL_PARAMETERS angstrom
4.816 0.000 0.000
0.000 4.816 0.000
0.000 0.000 4.530
```


Record 2
A relaxed SmErAgHg crystal. Source: Alexandria via LeMat-Bulk, functional GGA-PBE. Values from VASP.

Properties
**Formation energy from the elements**: -389 meV per atom
**SG**: F-43m
**Theoretical density**: 10.25 Mg/m³
**Spin magnetization**: 0.00 μB per cell
**E**: -56.0 eV for the cell shown

The structure in Quantum ESPRESSO input format:
```
&SYSTEM
  ibrav = 0, nat = 16, ntyp = 4
/
ATOMIC_SPECIES
Sm 150.36 Sm.upf
Er 167.26 Er.upf
Ag 107.87 Ag.upf
Hg 200.59 Hg.upf
ATOMIC_POSITIONS angstrom
Sm 0.000 0.000 0.000
Sm 0.000 3.701 3.701
Sm 3.701 0.000 3.701
Sm 3.701 3.701 0.000
Er 0.000 0.000 3.701
Er 0.000 3.701 0.000
Er 3.701 0.000 0.000
Er 3.701 3.701 3.701
Ag 1.851 1.851 5.552
Ag 1.851 5.552 1.851
Ag 5.552 1.851 1.851
Ag 5.552 5.552 5.552
Hg 1.851 1.851 1.851
Hg 1.851 5.552 5.552
Hg 5.552 1.851 5.552
Hg 5.552 5.552 1.851
CELL_PARAMETERS angstrom
7.402 0.000 0.000
0.000 7.402 0.000
0.000 0.000 7.402
```


Record 3
A relaxed Ti8Co2Rh crystal. Source: Alexandria via LeMat-Bulk, functional GGA-PBE. Values from VASP.

Properties
**Formation energy from the elements**: -176 meV per atom
**SG**: C2/m
**Theoretical density**: 5.70 Mg/m³
**Spin magnetization**: 0.00 μB per cell
**E**: -86.7 eV for the cell shown

The structure in Quantum ESPRESSO input format:
```
&SYSTEM
  ibrav = 0, nat = 11, ntyp = 3
/
ATOMIC_SPECIES
Ti 47.87 Ti.upf
Co 58.93 Co.upf
Rh 102.91 Rh.upf
ATOMIC_POSITIONS angstrom
Ti 0.496 1.400 2.551
Ti 3.447 3.256 0.000
Ti 0.496 -1.400 2.551
Ti 2.335 0.000 0.793
Ti 2.846 0.000 3.560
Ti 4.686 1.400 1.802
Ti 3.447 -3.256 0.000
Ti 4.686 -1.400 1.802
Co 2.591 2.410 2.177
Co 2.591 -2.410 2.177
Rh 0.000 0.000 0.000
CELL_PARAMETERS angstrom
3.447 -5.860 0.000
3.447 5.860 0.000
-1.712 0.000 4.353
```


Record 4
A relaxed TiNbOs3 crystal. Source: Alexandria via LeMat-Bulk, functional GGA-PBE. Values from VASP.

Properties
**Formation energy from the elements**: 1409 meV per atom
**SG**: Pm-3m
**Theoretical density**: 13.07 Mg/m³
**Spin magnetization**: 0.00 μB per cell
**Energy above the most stable polymorph in this dataset**: 0.000 eV/atom
**E**: -44.6 eV for the cell shown

The structure in Quantum ESPRESSO input format:
```
&SYSTEM
  ibrav = 0, nat = 5, ntyp = 3
/
ATOMIC_SPECIES
Ti 47.87 Ti.upf
Nb 92.91 Nb.upf
Os 190.23 Os.upf
ATOMIC_POSITIONS angstrom
Ti 0.000 0.000 0.000
Nb 2.244 2.244 2.244
Os 0.000 0.000 2.244
Os 0.000 2.244 0.000
Os 2.244 0.000 0.000
CELL_PARAMETERS angstrom
4.488 0.000 0.000
0.000 4.488 0.000
0.000 0.000 4.488
```


Record 5
A relaxed Dy2CdHg3 crystal. Source: Alexandria via LeMat-Bulk, functional GGA-PBE. Values from VASP.

Properties
**Formation energy from the elements**: -409 meV per atom
**SG**: Pmc2_1
**Theoretical density**: 11.78 Mg/m³
**Spin magnetization**: 0.00 μB per cell
**Energy above the most stable polymorph in this dataset**: 0.000 eV/atom
**E**: -27.0 eV for the cell shown

The structure in Quantum ESPRESSO input format:
```
&SYSTEM
  ibrav = 0, nat = 12, ntyp = 3
/
ATOMIC_SPECIES
Dy 162.50 Dy.upf
Cd 112.41 Cd.upf
Hg 200.59 Hg.upf
ATOMIC_POSITIONS angstrom
Dy 0.000 1.464 0.000
Dy 0.000 7.553 3.163
Dy 2.569 2.963 3.586
Dy 2.569 6.053 0.423
Cd 0.000 4.445 1.837
Cd 0.000 4.571 5.000
Hg 0.000 1.543 3.155
Hg 0.000 7.474 6.318
Hg 2.569 0.056 1.740
Hg 2.569 3.055 0.402
Hg 2.569 5.961 3.566
Hg 2.569 8.960 4.903
CELL_PARAMETERS angstrom
5.137 0.000 0.000
0.000 9.017 0.000
0.000 0.000 6.326
```


Record 6
A relaxed SrTl2Tc crystal. Source: Alexandria via LeMat-Bulk, functional GGA-PBE. Values from VASP.

Properties
**Formation energy from the elements**: 545 meV per atom
**SG**: I-4m2
**Theoretical density**: 9.61 Mg/m³
**Spin magnetization**: 3.48 μB per cell
**Energy above the most stable polymorph in this dataset**: 0.225 eV/atom
**E**: -29.2 eV for the cell shown

The structure in Quantum ESPRESSO input format:
```
&SYSTEM
  ibrav = 0, nat = 8, ntyp = 3
/
ATOMIC_SPECIES
Sr 87.62 Sr.upf
Tl 204.38 Tl.upf
Tc 98.00 Tc.upf
ATOMIC_POSITIONS angstrom
Sr 0.000 0.000 0.000
Sr 2.294 2.294 4.883
Tl 0.000 0.000 4.883
Tl 0.000 2.294 2.442
Tl 2.294 0.000 7.325
Tl 2.294 2.294 0.000
Tc 0.000 2.294 7.325
Tc 2.294 0.000 2.442
CELL_PARAMETERS angstrom
4.587 0.000 0.000
0.000 4.587 0.000
0.000 0.000 9.766
```


Record 7
A relaxed SmAgP2Pt7 crystal. Source: Alexandria via LeMat-Bulk, functional GGA-PBE. Values from VASP.

Properties
**Formation energy from the elements**: -265 meV per atom
**SG**: I-4m2
**Theoretical density**: 11.76 Mg/m³
**Spin magnetization**: 0.00 μB per cell
**E**: -63.6 eV for the cell shown

The structure in Quantum ESPRESSO input format:
```
&SYSTEM
  ibrav = 0, nat = 11, ntyp = 4
/
ATOMIC_SPECIES
Sm 150.36 Sm.upf
Ag 107.87 Ag.upf
P 30.97 P.upf
Pt 195.08 Pt.upf
ATOMIC_POSITIONS angstrom
Sm 0.000 0.000 0.000
Ag 0.000 2.015 7.328
P 0.000 0.000 11.158
P 0.000 0.000 18.153
Pt 2.015 0.000 2.236
Pt 0.000 0.000 9.016
Pt 2.015 0.000 12.419
Pt 0.000 0.000 14.656
Pt 0.000 2.015 2.244
Pt 0.000 0.000 20.295
Pt 0.000 2.015 12.412
CELL_PARAMETERS angstrom
-2.015 2.015 14.656
2.015 -2.015 14.656
2.015 2.015 -14.656
```


Record 8
A relaxed CeNd5Bi4 crystal. Source: Alexandria via LeMat-Bulk, functional GGA-PBE. Values from VASP.

Properties
**Formation energy from the elements**: -537 meV per atom
**SG**: C2/m
**Theoretical density**: 7.48 Mg/m³
**Spin magnetization**: 1.00 μB per cell
**E**: -50.7 eV for the cell shown

The structure in Quantum ESPRESSO input format:
```
&SYSTEM
  ibrav = 0, nat = 10, ntyp = 3
/
ATOMIC_SPECIES
Ce 140.12 Ce.upf
Nd 144.24 Nd.upf
Bi 208.98 Bi.upf
ATOMIC_POSITIONS angstrom
Ce 0.000 0.000 0.000
Nd -1.194 0.000 4.253
Nd 4.736 0.000 5.526
Nd 6.178 0.000 1.538
Nd 11.024 0.000 6.967
Nd 12.466 0.000 2.979
Bi 3.109 0.000 0.723
Bi 7.834 0.000 6.328
Bi 9.367 0.000 2.177
Bi 14.092 0.000 7.782
CELL_PARAMETERS angstrom
9.795 -2.261 0.000
9.795 2.261 0.000
-2.389 0.000 8.505
```


Record 9
A relaxed TlCoSb2 crystal. Source: Alexandria via LeMat-Bulk, functional GGA-PBE. Values from VASP.

Properties
**SG**: Pmmm
**Theoretical density**: 8.93 Mg/m³
**Spin magnetization**: 1.60 μB per cell
**Energy above the most stable polymorph in this dataset**: 0.603 eV/atom
**E**: -15.3 eV for the cell shown

The structure in Quantum ESPRESSO input format:
```
&SYSTEM
  ibrav = 0, nat = 4, ntyp = 3
/
ATOMIC_SPECIES
Tl 204.38 Tl.upf
Co 58.93 Co.upf
Sb 121.76 Sb.upf
ATOMIC_POSITIONS angstrom
Tl 0.000 0.000 0.000
Co 1.948 0.000 2.517
Sb 0.000 2.403 2.517
Sb 1.948 2.403 0.000
CELL_PARAMETERS angstrom
3.895 0.000 0.000
0.000 4.805 0.000
0.000 0.000 5.034
```


Record 10
A relaxed TeMoAsN2 crystal. Source: Alexandria via LeMat-Bulk, functional GGA-PBE. Values from VASP.

Properties
**SG**: P4/mmm
**Theoretical density**: 5.99 Mg/m³
**Spin magnetization**: 2.01 μB per cell
**Energy above the most stable polymorph in this dataset**: 1.092 eV/atom
**E**: -26.4 eV for the cell shown

The structure in Quantum ESPRESSO input format:
```
&SYSTEM
  ibrav = 0, nat = 5, ntyp = 4
/
ATOMIC_SPECIES
Te 127.60 Te.upf
Mo 95.94 Mo.upf
As 74.92 As.upf
N 14.01 N.upf
ATOMIC_POSITIONS angstrom
Te 0.000 0.000 0.000
Mo 0.000 0.000 2.982
As 1.947 1.947 2.982
N 0.000 1.947 0.000
N 1.947 0.000 0.000
CELL_PARAMETERS angstrom
3.894 0.000 0.000
0.000 3.894 0.000
0.000 0.000 5.964
```


Record 11
A relaxed RbMgCd crystal. Source: Alexandria via LeMat-Bulk, functional GGA-PBE. Values from VASP.

Properties
**Formation energy from the elements**: 103 meV per atom
**SG**: P3m1
**Theoretical density**: 3.04 Mg/m³
**Spin magnetization**: 0.00 μB per cell
**Energy above the most stable polymorph in this dataset**: 0.102 eV/atom
**E**: -3.2 eV for the cell shown

The structure in Quantum ESPRESSO input format:
```
&SYSTEM
  ibrav = 0, nat = 3, ntyp = 3
/
ATOMIC_SPECIES
Rb 85.47 Rb.upf
Mg 24.30 Mg.upf
Cd 112.41 Cd.upf
ATOMIC_POSITIONS angstrom
Rb 0.000 0.000 0.000
Mg 0.000 2.986 2.622
Cd 2.586 1.493 2.606
CELL_PARAMETERS angstrom
5.171 0.000 0.000
-2.586 4.478 0.000
0.000 0.000 5.236
```


Record 12
A relaxed MgZr2Pb crystal. Source: Alexandria via LeMat-Bulk, functional GGA-PBE. Values from VASP.

Properties
**Formation energy from the elements**: -86 meV per atom
**SG**: Pmmm
**Theoretical density**: 7.55 Mg/m³
**Spin magnetization**: 0.00 μB per cell
**E**: -22.7 eV for the cell shown

The structure in Quantum ESPRESSO input format:
```
&SYSTEM
  ibrav = 0, nat = 4, ntyp = 3
/
ATOMIC_SPECIES
Mg 24.30 Mg.upf
Zr 91.22 Zr.upf
Pb 207.20 Pb.upf
ATOMIC_POSITIONS angstrom
Mg 0.000 0.000 0.000
Zr 1.632 2.213 1.542
Zr 1.632 2.213 4.763
Pb 0.000 0.000 3.152
CELL_PARAMETERS angstrom
3.264 0.000 0.000
0.000 4.426 0.000
0.000 0.000 6.305
```